VASP calculation (PBE+U) on a relaxed BaNiPdF6 crystal.

Summary:
For the raw total energy, the calculation gives -4.62 eV per atom. Its space-group type is Imma.

a b c (Å): 7.015 7.346 7.298
angles (deg): 120.22 118.73 90.00
Site moments in Bohr magnetons follow the coordinates.
Positions (direct):
F: 0.098 0.331 0.773  0.10
F: 0.675 0.331 0.773  0.10
F: 0.383 0.633 0.767  0.16
F: 0.902 0.058 0.227  0.10
F: 0.098 0.942 0.773  0.10
F: 0.675 0.942 0.773  0.10
F: 0.680 0.930 0.360  0.06
F: 0.617 0.367 0.233  0.16
F: 0.320 0.070 0.640  0.06
F: 0.902 0.669 0.227  0.10
F: 0.325 0.669 0.227  0.10
F: 0.325 0.058 0.227  0.10
Ni: 0.000 0.000 0.500  1.83
Ni: 0.500 0.000 0.500  1.83
Ba: 0.081 0.331 0.162  0.00
Ba: 0.919 0.669 0.838  0.00
Pd: 0.500 0.500 0.000  1.47
Pd: 0.500 0.000 0.000  1.47